Record 1
An optimized crystal structure of NdY2Ho5Tm. Source: the Alexandria database, functional PBE.

Its total magnetic moment is 0.0 Bohr magnetons per cell. For the total energy, the calculation gives -4.85 eV/atom. The value obtained for the density of states at the Fermi level is 59.3 states/eV/cell.

The structure belongs to space group Cmc2_1 (No. 36); the cell edges are 5.608, 19.692 and 10.556 Å and the angles 90.00°, 90.00° and 90.00°. The inequivalent atoms are Nd at (0.000, 0.084, 0.000), Y at (0.000, 0.387, 0.864), Y at (0.000, 0.389, 0.279), Ho at (0.000, 0.021, 0.283), Ho at (0.000, 0.113, 0.567), Ho at (0.000, 0.202, 0.254), Ho at (0.000, 0.218, 0.858), Ho at (0.000, 0.481, 0.569) and Tm at (0.000, 0.299, 0.557).

Record 2
An optimized crystal structure of NdYHoTm3. Source: the Alexandria database, functional PBE.

Its total magnetic moment is 0.0 Bohr magnetons per cell. For the total energy, the calculation gives -4.84 eV/atom. The value obtained for the density of states at the Fermi level is 33.4 states/eV/cell.

The structure belongs to space group Cmcm (No. 63); the cell edges are 5.008, 15.025 and 10.012 Å and the angles 90.00°, 90.00° and 90.00°. The inequivalent atoms are Nd at (0.000, 0.001, 0.250), Y at (0.000, 0.332, 0.250), Ho at (0.000, 0.500, 0.000), Tm at (0.000, 0.167, 0.000) and Tm at (0.000, 0.333, 0.750).

Record 3
An optimized crystal structure of Nd3Y6HoTm2. Source: the Alexandria database, functional PBE.

Its total magnetic moment is 0.0 Bohr magnetons per cell. For the total energy, the calculation gives -5.53 eV/atom. The value obtained for the density of states at the Fermi level is 35.1 states/eV/cell.

The structure belongs to space group C2/m (No. 12); the cell edges are 6.212, 10.752 and 11.839 Å and the angles 90.00°, 100.04° and 90.00°. The inequivalent atoms are Nd at (0.000, 0.000, 0.000), Nd at (0.000, 0.333, 0.000), Y at (0.248, 0.000, 0.746), Y at (0.249, 0.333, 0.746), Ho at (0.000, 0.500, 0.500) and Tm at (0.000, 0.167, 0.500).

Record 4
An optimized crystal structure of Nd2Y3HoTm6. Source: the Alexandria database, functional PBE.

Its total magnetic moment is 0.0 Bohr magnetons per cell. For the total energy, the calculation gives -5.00 eV/atom. The value obtained for the density of states at the Fermi level is 33.7 states/eV/cell.

The structure belongs to space group C2/m (No. 12); the cell edges are 6.145, 10.634 and 11.721 Å and the angles 90.00°, 100.04° and 90.00°. The inequivalent atoms are Nd at (0.000, 0.167, 0.000), Y at (0.000, 0.000, 0.500), Y at (0.000, 0.334, 0.500), Ho at (0.000, 0.500, 0.000), Tm at (0.248, 0.500, 0.749) and Tm at (0.249, 0.166, 0.749).

Record 5
An optimized crystal structure of NdY6Ho2Tm3. Source: the Alexandria database, functional PBE.

Its total magnetic moment is 0.0 Bohr magnetons per cell. For the total energy, the calculation gives -5.49 eV/atom. The value obtained for the density of states at the Fermi level is 35.1 states/eV/cell.

The structure belongs to space group C2/m (No. 12); the cell edges are 6.154, 10.647 and 11.774 Å and the angles 90.00°, 100.00° and 90.00°. The inequivalent atoms are Nd at (0.000, 0.000, 0.000), Y at (0.248, 0.333, 0.748), Y at (0.249, 0.000, 0.748), Ho at (0.000, 0.333, 0.000), Tm at (0.000, 0.167, 0.500) and Tm at (0.000, 0.500, 0.500).

Record 6
An optimized crystal structure of Nd2YHoTm2. Source: the Alexandria database, functional PBE.

Its total magnetic moment is 0.0 Bohr magnetons per cell. For the total energy, the calculation gives -4.80 eV/atom. The value obtained for the density of states at the Fermi level is 19.3 states/eV/cell.

The structure belongs to space group P2_1/m (No. 11); the cell edges are 6.564, 7.030 and 8.784 Å and the angles 90.00°, 103.55° and 90.00°. The inequivalent atoms are Nd at (0.128, 0.250, 0.347), Nd at (0.266, 0.750, 0.988), Y at (0.243, 0.250, 0.987), Ho at (0.121, 0.750, 0.353) and Tm at (0.406, 0.002, 0.683).

Record 7
An optimized crystal structure of Nd2Ho3Tm6Zr. Source: the Alexandria database, functional PBE.

Its total magnetic moment is 0.0 Bohr magnetons per cell. For the total energy, the calculation gives -4.83 eV/atom. The value obtained for the density of states at the Fermi level is 30.9 states/eV/cell.

The structure belongs to space group C2/m (No. 12); the cell edges are 6.067, 10.495 and 11.573 Å and the angles 90.00°, 100.02° and 90.00°. The inequivalent atoms are Nd at (0.000, 0.167, 0.000), Ho at (0.000, 0.000, 0.500), Ho at (0.000, 0.334, 0.500), Tm at (0.243, 0.500, 0.752), Tm at (0.246, 0.337, 0.248) and Zr at (0.000, 0.500, 0.000).

Record 8
An optimized crystal structure of NdHoV. Source: the Alexandria database, functional PBE.

Its total magnetic moment is 0.0 Bohr magnetons per cell. For the total energy, the calculation gives -5.77 eV/atom. The value obtained for the density of states at the Fermi level is 9.8 states/eV/cell.

The structure belongs to space group P4/nmm (No. 129, origin choice 2); the cell edges are 3.429, 3.429 and 13.716 Å and the angles 90.00°, 90.00° and 90.00°. The inequivalent atoms are Nd at (0.250, 0.250, 0.202), Ho at (0.250, 0.250, 0.592) and V at (0.250, 0.750, 0.000).